Here is an optimized crystal structure of Sr2LaSi from the Alexandria database. Energies are from PBEsol.

Properties
Total energy, eV/f.u.: -15.53
Total magnetic moment, μB per atom: 0.0002
Density of states at the Fermi level, states/eV per atom: 1.04

Cell: 4.084 4.389 17.724 Å, 90.00 90.00 90.00°
Atoms (fractional coordinates):
Sr 0.000 0.000 0.000
Sr 0.000 0.500 0.500
Sr 0.500 0.000 0.324
Sr 0.500 0.500 0.824
La 0.500 0.000 0.655
La 0.500 0.500 0.155
Si 0.000 0.000 0.179
Si 0.000 0.500 0.679

=====

Here is an optimized crystal structure of CoAu2Se from the Alexandria database. Energies are from PBEsol.

Properties
Total energy, eV/f.u.: -18.67
Total magnetic moment, μB per atom: 0.1794
Density of states at the Fermi level, states/eV per atom: 0.93

Cell: 12.483 2.857 3.765 Å, 90.00 102.26 90.00°
Atoms (fractional coordinates):
Co 0.000 0.000 0.000
Co 0.500 0.500 0.000
Au 0.186 0.500 0.203
Au 0.314 0.000 0.797
Au 0.686 0.000 0.203
Au 0.814 0.500 0.797
Se 0.000 0.500 0.500
Se 0.500 0.000 0.500

=====

Here is an optimized crystal structure of LiFe3C from the Alexandria database. Energies are from PBEsol.

Properties
Energy above the lowest structure with this stoichiometry, kcal/mol of atoms: 45.999
E_form, eV/atom: 2.090
Total magnetic moment, μB per atom: 1.5850
Density of states at the Fermi level, states/eV per atom: 0.80

Cell: 3.810 3.810 3.810 Å, 90.00 90.00 90.00°
Atoms (fractional coordinates):
Li 0.000 0.000 0.000
Fe 0.000 0.000 0.500
Fe 0.000 0.500 0.000
Fe 0.500 0.000 0.000
C 0.500 0.500 0.500

=====

Here is an optimized crystal structure of SrZr3Br from the Alexandria database. Energies are from PBEsol.

Properties
Total energy, eV/f.u.: -29.61
Total magnetic moment, μB per atom: 0.0013
Density of states at the Fermi level, states/eV per atom: 1.53

Cell: 5.100 5.100 5.100 Å, 90.00 90.00 90.00°
Atoms (fractional coordinates):
Sr 0.000 0.000 0.000
Zr 0.000 0.500 0.500
Zr 0.500 0.000 0.500
Zr 0.500 0.500 0.000
Br 0.500 0.500 0.500

=====

Here is an optimized crystal structure of Sr3CaAu from the Alexandria database. Energies are from PBEsol.

Properties
E_form, eV/atom: -0.279
Total magnetic moment, μB per atom: 0.0000
Density of states at the Fermi level, states/eV per atom: 0.60

Cell: 6.043 6.043 6.043 Å, 90.00 90.00 90.00°
Atoms (fractional coordinates):
Sr 0.000 0.000 0.500
Sr 0.000 0.500 0.000
Sr 0.500 0.000 0.000
Ca 0.500 0.500 0.500
Au 0.000 0.000 0.000

=====

Here is an optimized crystal structure of ScP2SCl from the Alexandria database. Energies are from PBEsol.

Properties
Total energy, eV/f.u.: -24.08
Total magnetic moment, μB per atom: 0.0000
Density of states at the Fermi level, states/eV per atom: 0.37

Cell: 4.501 4.501 4.541 Å, 90.00 90.00 90.00°
Atoms (fractional coordinates):
Sc 0.000 0.000 0.000
P 0.000 0.500 0.500
P 0.500 0.000 0.500
S 0.500 0.500 0.500
Cl 0.500 0.500 0.000

=====

Here is an optimized crystal structure of Tl2Cd from the Alexandria database. Energies are from PBEsol.

Properties
Energy above the lowest structure with this stoichiometry, kcal/mol of atoms: 0.497
E_form, eV/atom: 0.061
Total magnetic moment, μB per atom: 0.0000
Density of states at the Fermi level, states/eV per atom: 0.51

Cell: 9.663 9.663 9.663 Å, 60.00 60.00 60.00°
Atoms (fractional coordinates):
Tl 0.000 0.000 0.000
Tl 0.000 0.000 0.500
Tl 0.000 0.500 0.000
Tl 0.187 0.187 0.563
Tl 0.187 0.563 0.187
Tl 0.187 0.563 0.563
Tl 0.437 0.437 0.813
Tl 0.437 0.813 0.437
Tl 0.437 0.813 0.813
Tl 0.500 0.000 0.000
Tl 0.563 0.187 0.187
Tl 0.563 0.187 0.563
Tl 0.563 0.563 0.187
Tl 0.813 0.437 0.437
Tl 0.813 0.437 0.813
Tl 0.813 0.813 0.437
Cd 0.139 0.787 0.787
Cd 0.213 0.213 0.213
Cd 0.213 0.213 0.861
Cd 0.213 0.861 0.213
Cd 0.787 0.139 0.787
Cd 0.787 0.787 0.139
Cd 0.787 0.787 0.787
Cd 0.861 0.213 0.213

=====

Here is an optimized crystal structure of RbNb4Cl11 from the Alexandria database. Energies are from PBEsol.

Properties
Total energy, eV/f.u.: -88.65
Total magnetic moment, μB per atom: 0.0000
Density of states at the Fermi level, states/eV per atom: 0.01

Cell: 16.041 6.889 6.682 Å, 90.00 90.00 90.00°
Atoms (fractional coordinates):
Rb 0.250 0.000 0.007
Rb 0.750 0.000 0.993
Nb 0.000 0.284 0.500
Nb 0.000 0.716 0.500
Nb 0.142 0.500 0.622
Nb 0.358 0.500 0.622
Nb 0.500 0.284 0.500
Nb 0.500 0.716 0.500
Nb 0.642 0.500 0.378
Nb 0.858 0.500 0.378
Cl 0.079 0.246 0.818
Cl 0.079 0.754 0.818
Cl 0.084 0.000 0.361
Cl 0.085 0.500 0.285
Cl 0.250 0.265 0.481
Cl 0.250 0.500 0.909
Cl 0.250 0.735 0.481
Cl 0.415 0.500 0.285
Cl 0.416 0.000 0.361
Cl 0.421 0.246 0.818
Cl 0.421 0.754 0.818
Cl 0.579 0.246 0.182
Cl 0.579 0.754 0.182
Cl 0.584 0.000 0.639
Cl 0.585 0.500 0.715
Cl 0.750 0.265 0.519
Cl 0.750 0.500 0.091
Cl 0.750 0.735 0.519
Cl 0.915 0.500 0.715
Cl 0.916 0.000 0.639
Cl 0.921 0.246 0.182
Cl 0.921 0.754 0.182

=====

Here is an optimized crystal structure of Y2Ga2Fe15 from the Alexandria database. Energies are from PBEsol.

Properties
E_form, eV/atom: -0.055
Total magnetic moment, μB per atom: 1.3488
Density of states at the Fermi level, states/eV per atom: 0.88

Cell: 6.260 6.260 6.260 Å, 82.12 82.12 82.12°
Atoms (fractional coordinates):
Y 0.154 0.154 0.154
Y 0.846 0.846 0.846
Ga 0.398 0.398 0.398
Ga 0.602 0.602 0.602
Fe 0.000 0.500 0.500
Fe 0.159 0.159 0.660
Fe 0.159 0.660 0.159
Fe 0.198 0.500 0.802
Fe 0.198 0.802 0.500
Fe 0.340 0.841 0.841
Fe 0.500 0.000 0.500
Fe 0.500 0.198 0.802
Fe 0.500 0.500 0.000
Fe 0.500 0.802 0.198
Fe 0.660 0.159 0.159
Fe 0.802 0.198 0.500
Fe 0.802 0.500 0.198
Fe 0.841 0.340 0.841
Fe 0.841 0.841 0.340

=====

Here is an optimized crystal structure of ScIn2Cu from the Alexandria database. Energies are from PBEsol.

Properties
E_form, eV/atom: -0.221
Total magnetic moment, μB per atom: 0.1250
Density of states at the Fermi level, states/eV per atom: 0.47

Cell: 3.173 3.173 7.497 Å, 90.00 90.00 90.00°
Atoms (fractional coordinates):
Sc 0.000 0.000 0.000
In 0.500 0.500 0.282
In 0.500 0.500 0.718
Cu 0.000 0.000 0.500

=====

Here is an optimized crystal structure of La2CdSe from the Alexandria database. Energies are from PBEsol.

Properties
Energy above the lowest structure with this stoichiometry, kcal/mol of atoms: 1.381
Total magnetic moment, μB per atom: 0.0000
Density of states at the Fermi level, states/eV per atom: 1.16

Cell: 3.590 3.590 8.210 Å, 90.00 90.00 90.00°
Atoms (fractional coordinates):
La 0.000 0.000 0.228
La 0.000 0.000 0.772
Cd 0.500 0.500 0.500
Se 0.500 0.500 0.000

=====

Here is an optimized crystal structure of AlGaO3 from the Alexandria database. Energies are from PBEsol.

Properties
Total energy, eV/f.u.: -35.49
Total magnetic moment, μB per atom: 0.0000
Density of states at the Fermi level, states/eV per atom: 0.00

Cell: 4.962 8.526 9.067 Å, 90.00 90.00 90.00°
Atoms (fractional coordinates):
Al 0.178 0.033 0.000
Al 0.187 0.342 0.792
Al 0.313 0.842 0.292
Al 0.322 0.533 0.500
Al 0.678 0.467 0.000
Al 0.687 0.158 0.792
Al 0.813 0.658 0.292
Al 0.822 0.967 0.500
Ga 0.182 0.351 0.200
Ga 0.185 0.658 0.014
Ga 0.315 0.158 0.514
Ga 0.318 0.851 0.700
Ga 0.682 0.149 0.200
Ga 0.685 0.842 0.014
Ga 0.815 0.342 0.514
Ga 0.818 0.649 0.700
O 0.020 0.822 0.142
O 0.030 0.164 0.142
O 0.038 0.487 0.641
O 0.151 0.669 0.379
O 0.152 0.992 0.411
O 0.169 0.345 0.406
O 0.331 0.845 0.906
O 0.348 0.492 0.911
O 0.349 0.169 0.879
O 0.462 0.987 0.141
O 0.470 0.664 0.642
O 0.480 0.322 0.642
O 0.520 0.678 0.142
O 0.530 0.336 0.142
O 0.538 0.013 0.641
O 0.651 0.831 0.379
O 0.652 0.508 0.411
O 0.669 0.155 0.406
O 0.831 0.655 0.906
O 0.848 0.008 0.911
O 0.849 0.331 0.879
O 0.962 0.513 0.141
O 0.970 0.836 0.642
O 0.980 0.178 0.642

=====

Here is an optimized crystal structure of SrLa2Co3O9 from the Alexandria database. Energies are from PBEsol.

Properties
Energy above the lowest structure with this stoichiometry, kcal/mol of atoms: 0.000
Total magnetic moment, μB per atom: 0.3432
Density of states at the Fermi level, states/eV per atom: 0.86

Cell: 5.344 5.344 13.166 Å, 90.69 90.69 59.87°
Atoms (fractional coordinates):
Sr 0.003 0.003 0.250
Sr 0.997 0.997 0.750
La 0.330 0.330 0.918
La 0.336 0.336 0.416
La 0.664 0.664 0.584
La 0.670 0.670 0.082
Co 0.000 0.000 0.000
Co 0.000 0.000 0.500
Co 0.332 0.332 0.668
Co 0.334 0.334 0.169
Co 0.666 0.666 0.831
Co 0.668 0.668 0.332
O 0.018 0.515 0.260
O 0.151 0.647 0.072
O 0.154 0.154 0.095
O 0.185 0.185 0.564
O 0.188 0.679 0.588
O 0.321 0.812 0.412
O 0.353 0.849 0.928
O 0.482 0.482 0.768
O 0.485 0.982 0.740
O 0.515 0.018 0.260
O 0.518 0.518 0.232
O 0.647 0.151 0.072
O 0.679 0.188 0.588
O 0.812 0.321 0.412
O 0.815 0.815 0.436
O 0.846 0.846 0.905
O 0.849 0.353 0.928
O 0.982 0.485 0.740

=====

Here is an optimized crystal structure of KNaZnC2 from the Alexandria database. Energies are from PBEsol.

Properties
E_form, eV/atom: 2.567
Total magnetic moment, μB per atom: 0.1329
Density of states at the Fermi level, states/eV per atom: 0.71

Cell: 4.525 4.525 4.744 Å, 90.00 90.00 90.00°
Atoms (fractional coordinates):
K 0.000 0.000 0.000
Na 0.000 0.000 0.500
Zn 0.500 0.500 0.000
C 0.000 0.500 0.500
C 0.500 0.000 0.500

=====

Here is an optimized crystal structure of TlCr5Se8 from the Alexandria database. Energies are from PBEsol.

Properties
Total energy, eV/f.u.: -91.20
Total magnetic moment, μB per atom: 1.0728
Density of states at the Fermi level, states/eV per atom: 0.16

Cell: 9.441 9.441 8.802 Å, 104.10 104.10 22.04°
Atoms (fractional coordinates):
Tl 0.000 0.000 0.000
Cr 0.157 0.157 0.476
Cr 0.204 0.204 0.835
Cr 0.500 0.500 0.500
Cr 0.796 0.796 0.165
Cr 0.843 0.843 0.524
Se 0.074 0.074 0.660
Se 0.262 0.262 0.344
Se 0.331 0.331 0.006
Se 0.415 0.415 0.680
Se 0.585 0.585 0.320
Se 0.669 0.669 0.994
Se 0.738 0.738 0.656
Se 0.926 0.926 0.340

=====

Here is an optimized crystal structure of Li2AsRu from the Alexandria database. Energies are from PBEsol.

Properties
E_form, eV/atom: -0.257
Total magnetic moment, μB per atom: 0.0009
Density of states at the Fermi level, states/eV per atom: 0.68

Cell: 8.575 3.035 4.587 Å, 90.00 111.48 90.00°
Atoms (fractional coordinates):
Li 0.000 0.000 0.000
Li 0.239 0.000 0.855
Li 0.500 0.500 0.000
Li 0.739 0.500 0.855
As 0.492 0.000 0.445
As 0.992 0.500 0.445
Ru 0.269 0.500 0.395
Ru 0.769 0.000 0.395

=====

Here is an optimized crystal structure of TaCdIn2Mo from the Alexandria database. Energies are from PBEsol.

Properties
E_form, eV/atom: 1.927
Total magnetic moment, μB per atom: 0.4565
Density of states at the Fermi level, states/eV per atom: 0.71

Cell: 4.948 4.948 5.158 Å, 90.00 90.00 90.00°
Atoms (fractional coordinates):
Ta 0.000 0.000 0.000
Cd 0.000 0.000 0.500
In 0.000 0.500 0.500
In 0.500 0.000 0.500
Mo 0.500 0.500 0.000

=====

Here is an optimized crystal structure of Bi2HRu from the Alexandria database. Energies are from PBEsol.

Properties
Total energy, eV/f.u.: -19.70
Total magnetic moment, μB per atom: 0.0000
Density of states at the Fermi level, states/eV per atom: 0.62

Cell: 6.480 6.480 7.095 Å, 90.00 90.00 90.00°
Atoms (fractional coordinates):
Bi 0.195 0.250 0.125
Bi 0.250 0.695 0.375
Bi 0.250 0.805 0.875
Bi 0.305 0.250 0.625
Bi 0.695 0.750 0.625
Bi 0.750 0.195 0.875
Bi 0.750 0.305 0.375
Bi 0.805 0.750 0.125
H 0.000 0.000 0.000
H 0.000 0.500 0.250
H 0.500 0.000 0.750
H 0.500 0.500 0.500
Ru 0.000 0.000 0.500
Ru 0.000 0.500 0.750
Ru 0.500 0.000 0.250
Ru 0.500 0.500 0.000

=====

Here is an optimized crystal structure of FeAg2 from the Alexandria database. Energies are from PBEsol.

Properties
E_form, eV/atom: 0.460
Total magnetic moment, μB per atom: 0.9901
Density of states at the Fermi level, states/eV per atom: 0.45

Cell: 4.514 4.514 2.620 Å, 90.00 90.00 120.00°
Atoms (fractional coordinates):
Fe 0.000 0.000 0.000
Ag 0.333 0.667 0.500
Ag 0.667 0.333 0.500

=====

Here is an optimized crystal structure of CsSrTi2Hg from the Alexandria database. Energies are from PBEsol.

Properties
E_form, eV/atom: 0.813
Total magnetic moment, μB per atom: 0.9480
Density of states at the Fermi level, states/eV per atom: 1.29

Cell: 5.348 5.348 6.075 Å, 90.00 90.00 90.00°
Atoms (fractional coordinates):
Cs 0.000 0.000 0.000
Sr 0.500 0.500 0.000
Ti 0.000 0.500 0.500
Ti 0.500 0.000 0.500
Hg 0.500 0.500 0.500